RbMgSiAs2: relaxed, PBEsol.

Volume ... 158.2 Å³ per cell
Crystal system ... tetragonal
Formation energy from raw total energies ... 1.685 eV per atom
SG ... P4/mmm
D(E_F) ... 5.8 states/eV/f.u.
Total magnetization ... 0.001 μB/cell

a = 5.484 Å, b = 5.484 Å, c = 5.260 Å
α = 90.00°, β = 90.00°, γ = 90.00°
Fractional positions:
Rb 0.000 0.000 0.000
Mg 0.500 0.500 0.500
Si 0.000 0.000 0.500
As 0.000 0.500 0.000
As 0.500 0.000 0.000